First-principles (PBE) data for a relaxed structure of Tl4Cd2In5, as listed in Alexandria via LeMat-Bulk.

Summary:
Uncorrected energy: -24.59 eV for the cell shown
Magnetic moment: 0.00 μB/f.u.

Cell: 8.359 3.322 11.159 Å, 90.00 93.16 90.00°
Space group P2/m (No. 10)
Asymmetric unit:
Tl  0.152  0.000  0.397 (multiplicity 2)
Tl  0.297  0.000  0.948 (multiplicity 2)
Cd  0.052  0.500  0.134 (multiplicity 2)
In  0.209  0.500  0.675 (multiplicity 2)
In  0.421  0.500  0.215 (multiplicity 2)
In  0.500  0.500  0.500 (multiplicity 1)

---

First-principles (PBE) data for a relaxed structure of CrNiH2, as listed in Alexandria via LeMat-Bulk.

Summary:
Uncorrected energy: -64.94 eV for the cell shown
ΔE to the lowest computed polymorph: 141 meV per atom
Magnetic moment: 1.25 μB/f.u.

Cell: 2.7067 2.7067 14.0051 Å, 90.00 90.00 120.00°
Space group R-3m (No. 166, hexagonal axes)
Asymmetric unit:
Cr  0.0000  0.0000  0.0000 (multiplicity 3)
Ni  0.0000  0.0000  0.5000 (multiplicity 3)
H  0.0000  0.0000  0.3863 (multiplicity 6)

---

First-principles (PBE) data for a relaxed structure of RbMg, as listed in Alexandria via LeMat-Bulk.

Summary:
Uncorrected energy: -8.25 eV for the cell shown
Magnetic moment: 0.00 μB/f.u.

Cell: 9.000 10.938 3.935 Å, 90.00 90.00 90.00°
Space group Cmm2 (No. 35)
Asymmetric unit:
Rb  0.000  0.205  0.000 (multiplicity 4)
Mg  0.173  0.500  0.504 (multiplicity 4)

---

First-principles (PBE) data for a relaxed structure of HoEr2Te4, as listed in Alexandria via LeMat-Bulk.

Summary:
Uncorrected energy: -141.75 eV for the cell shown
ΔE to the lowest computed polymorph: 50 meV per atom
Magnetic moment: 0.00 μB/f.u.
Formation energy (no corrections): -1.310 eV/atom

Cell: 4.212 14.208 14.846 Å, 90.00 90.00 90.00°
Space group Cmcm (No. 63)
Asymmetric unit:
Ho  0.000  0.129  0.250 (multiplicity 4)
Er  0.000  0.369  0.070 (multiplicity 8)
Te  0.000  0.000  0.000 (multiplicity 4)
Te  0.000  0.279  0.622 (multiplicity 8)
Te  0.000  0.469  0.250 (multiplicity 4)

---

First-principles (PBE) data for a relaxed structure of Na3Sm2YTe6, as listed in Alexandria via LeMat-Bulk.

Summary:
Uncorrected energy: -109.30 eV for the cell shown
Magnetic moment: 0.00 μB/f.u.
Formation energy (no corrections): -1.328 eV/atom

Cell: 7.756 13.434 8.005 Å, 90.00 108.87 90.00°
Space group C2/m (No. 12)
Asymmetric unit:
Na  0.000  0.000  0.000 (multiplicity 2)
Na  0.000  0.332  0.000 (multiplicity 4)
Sm  0.000  0.166  0.500 (multiplicity 4)
Y  0.000  0.500  0.500 (multiplicity 2)
Te  0.243  0.335  0.735 (multiplicity 8)
Te  0.250  0.000  0.735 (multiplicity 4)

---

First-principles (PBE) data for a relaxed structure of Cu4NiSe5, as listed in Alexandria via LeMat-Bulk.

Summary:
Uncorrected energy: -81.09 eV for the cell shown
Magnetic moment: 0.00 μB/f.u.
Formation energy (no corrections): -0.095 eV/atom

Cell: 8.200 8.200 5.052 Å, 90.00 90.00 90.00°
Space group I4/m (No. 87)
Asymmetric unit:
Cu  0.107  0.294  0.000 (multiplicity 8)
Ni  0.000  0.000  0.500 (multiplicity 2)
Se  0.000  0.000  0.000 (multiplicity 2)
Se  0.076  0.284  0.500 (multiplicity 8)

---

First-principles (PBE) data for a relaxed structure of Ho6Hg5Pt, as listed in Alexandria via LeMat-Bulk.

Summary:
Uncorrected energy: -84.68 eV for the cell shown
Magnetic moment: 0.00 μB/f.u.

Cell: 5.173 15.533 7.351 Å, 90.00 90.00 90.00°
Space group Cmmm (No. 65)
Asymmetric unit:
Ho  0.000  0.000  0.234 (multiplicity 4)
Ho  0.000  0.341  0.244 (multiplicity 8)
Hg  0.000  0.169  0.500 (multiplicity 4)
Hg  0.000  0.175  0.000 (multiplicity 4)
Hg  0.000  0.500  0.500 (multiplicity 2)
Pt  0.000  0.500  0.000 (multiplicity 2)

---

First-principles (PBE) data for a relaxed structure of HoGaPb, as listed in Alexandria via LeMat-Bulk.

Summary:
Uncorrected energy: -48.39 eV for the cell shown
ΔE to the lowest computed polymorph: 113 meV per atom
Magnetic moment: 0.00 μB/f.u.

Cell: 6.803 6.159 8.405 Å, 90.00 113.49 90.00°
Space group C2/m (No. 12)
Asymmetric unit:
Ho  0.131  0.000  0.266 (multiplicity 4)
Ga  0.195  0.500  0.000 (multiplicity 4)
Pb  0.162  0.500  0.331 (multiplicity 4)